TlCr2Cl | GGA-PBEsol | optimized geometry

The space group is Cmmm (No. 65) and the conventional cell measures 3.373, 5.645 and 8.299 Å, with angles of 90.00, 90.00 and 90.00 degrees. The asymmetric unit holds Tl at (0.000, 0.000, 0.000), Cr at (0.000, 0.500, 0.266) and Cl at (0.000, 0.000, 0.500).

The formation energy from raw total energies is 50.6 kJ/mol of atoms. The density of states at the Fermi level comes out at 4.2 states/eV per cell. As for the total energy: -5.756 eV/atom. The volume is 158.0 Å³ per cell.